(1)
Computed, not measured: an optimized crystal structure of Sb2PdPt at the PBE level of DFT.

abc: 4.823 4.823 4.823
angles: 60.00 60.00 60.00
Fractional positions:
Sb  0.250  0.250  0.250
Sb  0.750  0.750  0.750
Pt  0.500  0.500  0.500
Pd  0.000  0.000  0.000

***

(2)
Computed, not measured: an optimized crystal structure of Sb2PdPt at the PBE level of DFT.

abc: 4.001 4.001 6.715
angles: 72.67 72.67 60.00
Fractional positions:
Pt  0.662  0.662  0.013
Pd  0.506  0.506  0.481
Sb  0.253  0.253  0.240
Sb  0.078  0.078  0.767

***

Stability, highest: (2)

***

(1)
Computed, not measured: an optimized crystal structure of SbPd3Pt at the PBE level of DFT.

abc: 6.708 6.708 6.708
angles: 112.46 83.25 137.34
Fractional positions:
Pd  0.898  0.192  0.206
Pd  0.618  0.747  0.757
Pd  0.991  0.247  0.629
Pd  0.618  0.361  0.371
Pd  0.991  0.861  0.243
Pd  0.986  0.692  0.794
Sb  0.315  0.151  0.665
Sb  0.486  0.651  0.335
Pt  0.278  0.707  0.071
Pt  0.637  0.207  0.929

***

(2)
Computed, not measured: an optimized crystal structure of SbPd3Pt at the PBE level of DFT.

abc: 5.154 5.154 8.605
angles: 79.01 79.01 48.68
Fractional positions:
Pd  0.782  0.782  0.247
Pd  0.218  0.218  0.753
Pd  0.844  0.844  0.549
Pd  0.156  0.156  0.451
Pd  0.353  0.353  0.026
Pd  0.647  0.647  0.974
Sb  0.927  0.927  0.824
Sb  0.073  0.073  0.176
Pt  0.535  0.535  0.651
Pt  0.465  0.465  0.349

***

Stability, highest: (2)

***

(1)
Computed, not measured: an optimized crystal structure of SbPd8Pt2 at the PBE level of DFT.

abc: 4.671 5.659 7.862
angles: 111.11 107.28 90.00
Fractional positions:
Pd  0.173  0.173  0.346
Pd  0.000  0.745  0.000
Pd  0.656  0.411  0.312
Pd  0.656  0.901  0.312
Pd  0.000  0.255  0.000
Pd  0.344  0.589  0.688
Pd  0.827  0.827  0.654
Pd  0.344  0.099  0.688
Sb  0.500  0.000  0.000
Pt  0.171  0.671  0.341
Pt  0.829  0.329  0.659

***

(2)
Computed, not measured: an optimized crystal structure of SbPd8Pt2 at the PBE level of DFT.

abc: 4.803 6.690 6.690
angles: 83.26 77.15 77.15
Fractional positions:
Pd  0.704  0.574  0.574
Pd  0.796  0.159  0.673
Pd  0.110  0.722  0.722
Pd  0.204  0.327  0.841
Pd  0.204  0.841  0.327
Pd  0.890  0.278  0.278
Pd  0.296  0.426  0.426
Pd  0.796  0.673  0.159
Pt  0.467  0.150  0.150
Pt  0.533  0.850  0.850
Sb  0.000  0.000  0.000

***

Stability, highest: (1)

***

(1)
Computed, not measured: an optimized crystal structure of Sb2Pd5Pt5 at the PBE level of DFT.

abc: 4.093 6.313 8.960
angles: 115.38 90.00 108.92
Fractional positions:
Sb  0.087  0.175  0.755
Sb  0.913  0.825  0.245
Pt  0.000  0.000  0.000
Pt  0.835  0.670  0.503
Pt  0.165  0.330  0.497
Pt  0.750  0.500  0.747
Pt  0.250  0.500  0.253
Pd  0.333  0.666  0.998
Pd  0.667  0.334  0.002
Pd  0.500  0.000  0.500
Pd  0.583  0.167  0.250
Pd  0.417  0.833  0.750

***

(2)
Computed, not measured: an optimized crystal structure of Sb2Pd5Pt5 at the PBE level of DFT.

abc: 4.941 6.999 8.474
angles: 56.54 55.80 62.28
Fractional positions:
Pd  0.090  0.244  0.584
Pd  0.260  0.745  0.758
Pd  0.740  0.255  0.242
Pd  0.910  0.756  0.416
Pd  0.000  0.000  0.000
Sb  0.869  0.507  0.811
Sb  0.131  0.493  0.189
Pt  0.427  0.246  0.916
Pt  0.573  0.754  0.084
Pt  0.500  0.500  0.500
Pt  0.327  0.997  0.334
Pt  0.673  0.003  0.666

***

Stability, highest: (1)

***

(1)
Computed, not measured: an optimized crystal structure of SbPd2Pt8 at the PBE level of DFT.

abc: 4.022 6.301 7.479
angles: 104.55 105.60 90.00
Fractional positions:
Pt  0.683  0.911  0.365
Pt  0.953  0.277  0.906
Pt  0.591  0.448  0.182
Pt  0.137  0.181  0.274
Pt  0.409  0.552  0.818
Pt  0.863  0.819  0.726
Pt  0.317  0.089  0.635
Pt  0.047  0.723  0.094
Sb  0.500  0.000  0.000
Pd  0.774  0.366  0.549
Pd  0.226  0.634  0.451

***

(2)
Computed, not measured: an optimized crystal structure of SbPd2Pt8 at the PBE level of DFT.

abc: 4.762 5.503 7.999
angles: 110.08 107.32 90.00
Fractional positions:
Pt  0.829  0.829  0.659
Pt  0.339  0.090  0.678
Pt  0.000  0.745  0.000
Pt  0.661  0.412  0.322
Pt  0.339  0.588  0.678
Pt  0.661  0.910  0.322
Pt  0.000  0.255  0.000
Pt  0.171  0.171  0.341
Pd  0.835  0.334  0.669
Pd  0.165  0.666  0.331
Sb  0.500  0.000  0.000

***

Stability, highest: (1)

***

(1)
Computed, not measured: an optimized crystal structure of Sb2PdPt2 at the PBE level of DFT.

abc: 3.836 3.836 7.587
angles: 75.36 75.36 90.00
Fractional positions:
Sb  0.610  0.610  0.780
Sb  0.390  0.390  0.220
Pd  0.000  0.000  0.000
Pt  0.250  0.750  0.500
Pt  0.750  0.250  0.500

***

(2)
Computed, not measured: an optimized crystal structure of Sb2PdPt2 at the PBE level of DFT.

abc: 4.069 4.060 7.482
angles: 90.19 105.75 119.86
Fractional positions:
Pd  0.000  0.000  0.000
Sb  0.813  0.406  0.224
Sb  0.187  0.594  0.776
Pt  0.262  0.131  0.394
Pt  0.738  0.869  0.606

***

(3)
Computed, not measured: an optimized crystal structure of Sb2PdPt2 at the PBE level of DFT.

abc: 7.350 7.350 3.607
angles: 90.00 90.00 90.00
Fractional positions:
Sb  0.170  0.670  0.500
Sb  0.670  0.830  0.500
Sb  0.830  0.330  0.500
Sb  0.330  0.170  0.500
Pt  0.136  0.364  0.000
Pt  0.864  0.636  0.000
Pt  0.364  0.864  0.000
Pt  0.636  0.136  0.000
Pd  0.500  0.500  0.000
Pd  0.000  0.000  0.000

***

Stability, highest: (2)